a | Below is a relaxed RbHfCdAu crystal, with properties calculated at the GGA-PBE level.

Cell: 5.2663 5.2663 5.2663 Å, 60.00 60.00 60.00°
Positions (direct):
Au (0.7500, 0.7500, 0.7500)
Cd (0.2500, 0.2500, 0.2500)
Hf (0.0000, 0.0000, 0.0000)
Rb (0.5000, 0.5000, 0.5000)

Values from the calculation:
Theoretical density = 9.22 g/cm³

b | Below is a relaxed RbHfCdAu crystal, with properties calculated at the GGA-PBE level.

Cell: 5.1249 5.1249 5.1249 Å, 60.00 60.00 60.00°
Positions (direct):
Au (0.7500, 0.7500, 0.7500)
Cd (0.0000, 0.0000, 0.0000)
Hf (0.2500, 0.2500, 0.2500)
Rb (0.5000, 0.5000, 0.5000)

Values from the calculation:
Theoretical density = 10.00 g/cm³

Relative to the most stable structure, the computed energies are a 0.000; b 0.217, all in eV/atom.